# Na2NiF5

Na2NiF5 after structural relaxation (PBE+U, Alexandria).

Uncorrected energy   -65.27 eV for the cell shown
E above lowest polymorph   25 meV per atom

Cell: 11.0299 4.0394 7.1551 Å, 90.00 130.38 90.00°
Closest atoms and distances in Å follow each position.
Space group Cm (No. 8)
Unique sites:
Na: 0.0000 0.0000 0.0000  5 F 2.27-2.39
Na: 0.0283 0.5000 0.5306  5 F 2.27-2.40
Ni: 0.2626 0.0000 0.5816  6 F 1.81-2.02
F: 0.0411 0.0000 0.3617  1 Ni 1.86
F: 0.2605 0.0000 0.8326  1 Ni 1.81
F: 0.2633 0.5000 0.5948  2 Ni 2.02
F: 0.2639 0.0000 0.3291  1 Ni 1.82
F: 0.4843 0.0000 0.8074  1 Ni 1.86